(1)
This record from Alexandria describes Tb3Nd3Y4 after structural relaxation. The functional is PBE.

CIF file:
```
data_Tb3Nd3Y4
_chemical_formula_sum 'Tb3 Nd3 Y4'
_cell_length_a 3.7007
_cell_length_b 9.5423
_cell_length_c 9.5423
_cell_angle_alpha 90.23
_cell_angle_beta 90.00
_cell_angle_gamma 90.00
_symmetry_space_group_name_H-M 'P 1'
_symmetry_Int_Tables_number 1
loop_
_symmetry_equiv_pos_as_xyz
'x,y,z'
loop_
_atom_site_label
_atom_site_type_symbol
_atom_site_fract_x
_atom_site_fract_y
_atom_site_fract_z
Tb1 Tb 0.0000 0.4959 0.9985
Tb2 Tb 0.0000 0.0015 0.5041
Tb3 Tb 0.5000 0.1743 0.8257
Nd1 Nd 0.5000 0.8263 0.1737
Nd2 Nd 0.5000 0.3251 0.3261
Nd3 Nd 0.5000 0.6739 0.6749
Y1 Y 0.0000 0.6248 0.3752
Y2 Y 0.0000 0.3741 0.6259
Y3 Y 0.0000 0.8777 0.8737
Y4 Y 0.0000 0.1263 0.1223
```

VASP energy ... -5.298 eV/atom
Calculated formation energy ... 0.107 eV/atom
Density ... 6.23 g/cm³
Space group ... Amm2

(2)
This record from Alexandria describes MgAg2Ir after structural relaxation. The functional is PBE.

CIF file:
```
data_MgAg2Ir
_chemical_formula_sum 'Mg1 Ag2 Ir1'
_cell_length_a 5.0055
_cell_length_b 5.0055
_cell_length_c 5.0055
_cell_angle_alpha 132.35
_cell_angle_beta 132.35
_cell_angle_gamma 69.67
_symmetry_space_group_name_H-M 'P 1'
_symmetry_Int_Tables_number 1
loop_
_symmetry_equiv_pos_as_xyz
'x,y,z'
loop_
_atom_site_label
_atom_site_type_symbol
_atom_site_fract_x
_atom_site_fract_y
_atom_site_fract_z
Ag1 Ag 0.0000 0.0000 0.0000
Ag2 Ag 0.5000 0.5000 0.0000
Ir1 Ir 0.2500 0.7500 0.5000
Mg1 Mg 0.7500 0.2500 0.5000
```

VASP energy ... -3.964 eV/atom
Calculated formation energy ... 0.076 eV/atom
Density ... 10.69 g/cm³
Space group ... I4/mmm

(3)
This record from Alexandria describes AcAl4Ga after structural relaxation. The functional is PBE.

CIF file:
```
data_AcAl4Ga
_chemical_formula_sum 'Ac1 Al4 Ga1'
_cell_length_a 5.7318
_cell_length_b 5.7318
_cell_length_c 5.7318
_cell_angle_alpha 60.00
_cell_angle_beta 60.00
_cell_angle_gamma 60.00
_symmetry_space_group_name_H-M 'P 1'
_symmetry_Int_Tables_number 1
loop_
_symmetry_equiv_pos_as_xyz
'x,y,z'
loop_
_atom_site_label
_atom_site_type_symbol
_atom_site_fract_x
_atom_site_fract_y
_atom_site_fract_z
Ac1 Ac 0.2500 0.2500 0.2500
Al1 Al 0.6258 0.6258 0.1225
Al2 Al 0.6258 0.1225 0.6258
Al3 Al 0.6258 0.6258 0.6258
Al4 Al 0.1225 0.6258 0.6258
Ga1 Ga 0.0000 0.0000 0.0000
```

VASP energy ... -3.775 eV/atom
Calculated formation energy ... -0.090 eV/atom
Density ... 5.05 g/cm³
Space group ... F-43m

(4)
This record from Alexandria describes ScTiRe3 after structural relaxation. The functional is PBE.

CIF file:
```
data_ScTiRe3
_chemical_formula_sum 'Sc1 Ti1 Re3'
_cell_length_a 4.5750
_cell_length_b 4.5750
_cell_length_c 4.5750
_cell_angle_alpha 90.00
_cell_angle_beta 90.00
_cell_angle_gamma 90.00
_symmetry_space_group_name_H-M 'P 1'
_symmetry_Int_Tables_number 1
loop_
_symmetry_equiv_pos_as_xyz
'x,y,z'
loop_
_atom_site_label
_atom_site_type_symbol
_atom_site_fract_x
_atom_site_fract_y
_atom_site_fract_z
Sc1 Sc 0.5000 0.5000 0.5000
Re1 Re 0.0000 0.5000 0.0000
Re2 Re 0.0000 0.0000 0.5000
Re3 Re 0.5000 0.0000 0.0000
Ti1 Ti 0.0000 0.0000 0.0000
```

VASP energy ... -8.996 eV/atom
Calculated formation energy ... 1.318 eV/atom
Density ... 11.30 g/cm³
Space group ... Pm-3m

(5)
This record from Alexandria describes Nd5Si2 after structural relaxation. The functional is PBE.

CIF file:
```
data_Nd5Si2
_chemical_formula_sum 'Nd10 Si4'
_cell_length_a 6.5259
_cell_length_b 8.0540
_cell_length_c 8.6312
_cell_angle_alpha 97.07
_cell_angle_beta 112.21
_cell_angle_gamma 90.00
_symmetry_space_group_name_H-M 'P 1'
_symmetry_Int_Tables_number 1
loop_
_symmetry_equiv_pos_as_xyz
'x,y,z'
loop_
_atom_site_label
_atom_site_type_symbol
_atom_site_fract_x
_atom_site_fract_y
_atom_site_fract_z
Nd1 Nd 0.2161 0.4250 0.1841
Nd2 Nd 0.0319 0.0750 0.8159
Nd3 Nd 0.1816 0.6891 0.5557
Nd4 Nd 0.6259 0.8109 0.4443
Nd5 Nd 0.8184 0.3109 0.4443
Nd6 Nd 0.3741 0.1891 0.5557
Nd7 Nd 0.9681 0.9250 0.1841
Nd8 Nd 0.7839 0.5750 0.8159
Nd9 Nd 0.6088 0.2500 0.0000
Nd10 Nd 0.3912 0.7500 0.0000
Si1 Si 0.1998 0.4172 0.7899
Si2 Si 0.4099 0.0828 0.2101
Si3 Si 0.8002 0.5828 0.2101
Si4 Si 0.5901 0.9172 0.7899
```

VASP energy ... -5.367 eV/atom
Density ... 6.20 g/cm³
Space group ... C2/c

(6)
This record from Alexandria describes Th2CrTe2I4 after structural relaxation. The functional is PBE.

CIF file:
```
data_Th2CrTe2I4
_chemical_formula_sum 'Th2 Cr1 Te2 I4'
_cell_length_a 3.9126
_cell_length_b 3.9126
_cell_length_c 24.5652
_cell_angle_alpha 90.00
_cell_angle_beta 90.00
_cell_angle_gamma 120.00
_symmetry_space_group_name_H-M 'P 1'
_symmetry_Int_Tables_number 1
loop_
_symmetry_equiv_pos_as_xyz
'x,y,z'
loop_
_atom_site_label
_atom_site_type_symbol
_atom_site_fract_x
_atom_site_fract_y
_atom_site_fract_z
Th1 Th 0.0000 0.0000 0.9941
Th2 Th 0.6667 0.3333 0.6369
Cr1 Cr 0.0000 0.0000 0.3280
Te1 Te 0.6667 0.3333 0.3941
Te2 Te 0.6667 0.3333 0.2620
I1 I 0.0000 0.0000 0.5440
I2 I 0.6667 0.3333 0.0871
I3 I 0.6667 0.3333 0.9006
I4 I 0.0000 0.0000 0.7304
```

VASP energy ... -4.806 eV/atom
Density ... 6.52 g/cm³
Space group ... P3m1